VASP calculation (PBE) on an optimized crystal structure of MnFeB.

Cell lengths 5.061, 4.158, 4.140 Å; angles 75.17, 52.58, 52.25 degrees
Fractional positions:
Mn: 0.163 0.837 0.163
Mn: 0.837 0.163 0.837
Fe: 0.333 0.333 0.667
Fe: 0.667 0.667 0.333
B: 0.250 0.250 0.250
B: 0.750 0.750 0.750

Results
raw total energy	-8.419	eV per atom
DOS(E_F)	3.0	states/eV/f.u.
ΔE_f	-0.3160	eV/atom
magnetic moment	0.937	μB/atom
density	7.51	g cm⁻³



VASP calculation (PBE) on an optimized crystal structure of MnNb2Fe5B2.

Cell lengths 8.619, 8.619, 2.950 Å; angles 90.00, 90.00, 90.00 degrees
Fractional positions:
Mn: 0.000 0.000 0.000
Mn: 0.500 0.500 0.000
Nb: 0.177 0.323 0.000
Nb: 0.323 0.823 0.000
Nb: 0.677 0.177 0.000
Nb: 0.823 0.677 0.000
Fe: 0.000 0.500 0.500
Fe: 0.069 0.782 0.500
Fe: 0.218 0.069 0.500
Fe: 0.282 0.569 0.500
Fe: 0.431 0.282 0.500
Fe: 0.500 0.000 0.500
Fe: 0.569 0.718 0.500
Fe: 0.718 0.431 0.500
Fe: 0.782 0.931 0.500
Fe: 0.931 0.218 0.500
B: 0.121 0.621 0.000
B: 0.379 0.121 0.000
B: 0.621 0.879 0.000
B: 0.879 0.379 0.000

Results
raw total energy	-8.810	eV per atom
DOS(E_F)	7.2	states/eV/f.u.
ΔE_f	-0.3123	eV/atom
magnetic moment	0.300	μB/atom
density	8.21	g cm⁻³



VASP calculation (PBE) on an optimized crystal structure of MnFe2NiB.

Cell lengths 4.175, 4.175, 3.745 Å; angles 90.00, 90.00, 90.00 degrees
Fractional positions:
Mn: 0.000 0.000 0.000
Fe: 0.000 0.500 0.000
Fe: 0.500 0.000 0.000
Ni: 0.500 0.500 0.500
B: 0.000 0.000 0.500

Results
raw total energy	-6.481	eV per atom
DOS(E_F)	6.0	states/eV/f.u.
ΔE_f	1.2296	eV/atom
magnetic moment	0.876	μB/atom
density	6.01	g cm⁻³